[1]
Material: La6CoGe2I3
Method: DFT, PBE
State: optimized geometry

Calculated values
For the density of states at the Fermi level, the calculation gives 8.5 states/eV/f.u. The calculation puts the uncorrected formation energy at -0.923 eV/atom.

Cell and atoms, written as extended XYZ:
```
12
Lattice="7.5712 0.1072 -0.0030 -3.6909 6.6115 -0.0030 -1.2979 -2.2473 7.7971" Properties=species:S:1:pos:R:3 pbc="T T T"
La 3.6992 2.4838 6.3328
La 2.5960 4.4950 1.6354
La -1.1167 1.9876 1.4583
La 0.3027 4.4454 6.3328
La -0.0136 -0.0235 6.1557
La 2.2797 0.0261 1.4583
Co 0.0000 0.0000 0.0000
Ge 0.0692 4.4399 -0.0030
Ge 3.8111 2.2788 -0.0030
I -2.3439 4.3351 3.8955
I 4.9263 0.1363 3.8955
I 1.2912 2.2357 3.8955
```

=====

[2]
Material: CoGe2MoI
Method: DFT, PBE
State: optimized geometry

Calculated values
As for the excess energy over the best structure of this formula in the dataset: 1236 meV/atom. For the density of states at the Fermi level, the calculation gives 4.5 states/eV/f.u. The calculation puts the uncorrected formation energy at 2.134 eV/atom.

Cell and atoms, written as extended XYZ:
```
5
Lattice="5.4440 0.0000 0.0000 0.0000 5.0621 0.0000 0.0000 0.0000 5.4440" Properties=species:S:1:pos:R:3 pbc="T T T"
I 0.0000 0.0000 0.0000
Mo 0.0000 2.5310 0.0000
Co 2.7220 2.5310 2.7220
Ge 0.0000 0.0000 2.7220
Ge 2.7220 0.0000 0.0000
```

=====

[3]
Material: CoGe2MoI
Method: DFT, PBE
State: optimized geometry

Calculated values
As for the excess energy over the best structure of this formula in the dataset: 0 meV/atom. For the density of states at the Fermi level, the calculation gives 6.2 states/eV/f.u. The calculation puts the uncorrected formation energy at 0.898 eV/atom.

Cell and atoms, written as extended XYZ:
```
5
Lattice="-4.9985 0.3460 -0.1356 -0.3233 -3.3839 3.2847 0.1433 3.4826 3.6019" Properties=species:S:1:pos:R:3 pbc="T T T"
I -2.5892 0.2223 3.3755
Mo 0.0000 0.0000 0.0000
Co -0.1617 -1.6920 1.6424
Ge 0.0717 1.7413 1.8010
Ge -2.4992 0.1730 -0.0678
```

=====

[4]
Material: Nd8CoGe3I4
Method: DFT, PBE
State: optimized geometry

Calculated values
For the density of states at the Fermi level, the calculation gives 14.2 states/eV/f.u. The calculation puts the uncorrected formation energy at -0.882 eV/atom.

Cell and atoms, written as extended XYZ:
```
16
Lattice="-4.7879 -7.2112 -0.1008 3.3665 -2.3502 8.2274 -3.8151 7.7400 -0.7959" Properties=species:S:1:pos:R:3 pbc="T T T"
Nd -2.4313 4.3032 4.8931
Nd -0.4254 0.2079 5.3268
Nd -2.2999 1.4991 1.9961
Nd -4.9721 0.4763 4.8396
Nd -0.2644 -2.2977 2.4911
Nd -2.9366 -3.3206 5.3346
Nd -4.8112 -2.0294 2.0038
Nd -2.8053 -6.1246 2.4376
Co 1.6832 -1.1751 4.1137
Ge -0.7107 -4.7807 4.0633
Ge -2.6183 -0.9107 3.6653
Ge -0.2243 2.6949 3.7158
I -2.3940 -3.6056 -0.0504
I -4.3015 0.2644 -0.4484
I 0.0000 0.0000 0.0000
I -1.9076 3.8700 -0.3980
```